No. 1
First-principles (PBE-GGA) data for an optimized crystal structure of Cs2RbInBr6, as listed in Alexandria.

a b c (Å): 8.2936 8.5901 14.4427
angles (deg): 90.00 124.71 90.00
Fractional coordinates of all 20 atoms:
Cs1 0.2308 0.0604 0.2488
Cs2 0.2308 0.4396 0.7488
Cs3 0.7692 0.5604 0.2512
Cs4 0.7692 0.9396 0.7512
Rb1 0.5000 0.0000 0.0000
Rb2 0.5000 0.5000 0.5000
In1 0.0000 0.0000 0.5000
In2 0.0000 0.5000 0.0000
Br1 0.1292 0.2362 0.9546
Br2 0.1292 0.2638 0.4546
Br3 0.2264 0.6787 0.9600
Br4 0.2264 0.8213 0.4600
Br5 0.3031 0.0209 0.7213
Br6 0.3031 0.4791 0.2213
Br7 0.6969 0.5209 0.7787
Br8 0.6969 0.9791 0.2787
Br9 0.7736 0.1787 0.5400
Br10 0.7736 0.3213 0.0400
Br11 0.8708 0.7362 0.5454
Br12 0.8708 0.7638 0.0454

Computed properties:
formation energy (no corrections) = -14.27 eV/f.u.
crystal system = monoclinic
total magnetization = 0.0 μB per formula unit
distance to the lowest polymorph of the same formula = 0 meV/atom


No. 2
First-principles (PBE-GGA) data for an optimized crystal structure of Fe2PCl, as listed in Alexandria.

a b c (Å): 6.9855 6.9855 6.9855
angles (deg): 154.51 154.39 36.44
Fractional coordinates of all 4 atoms:
Fe1 0.0000 0.0000 0.0000
Fe2 0.8340 0.3340 0.5000
P1 0.4608 0.4608 0.0000
Cl1 0.2330 0.7330 0.5000

Computed properties:
formation energy (no corrections) = -0.46 eV/f.u.
crystal system = orthorhombic
total magnetization = 4.2 μB per formula unit
distance to the lowest polymorph of the same formula = 188 meV/atom